Compound: K2TlTeS
Source: Alexandria via LeMat-Bulk
Functional: PBE
Structure: relaxed

abc: 5.9638 5.9638 5.2895
angles: 90.00 90.00 90.00
Atoms (fractional coordinates):
1 K 0.0000 0.5000 0.0000
2 K 0.5000 0.0000 0.0000
3 Tl 0.0000 0.0000 0.5000
4 Te 0.5000 0.5000 0.5000
5 S 0.0000 0.0000 0.0000

symmetry	No. 123
calculated volume	37.6	Å³/atom
total magnetic moment	0.0006	μB/atom
energy relative to the elements, uncorrected	-0.616	eV per atom
electronic total energy	-2.982	eV per atom